# ZnBiP2O (PBE, relaxed)
# Total DFT energy (no corrections) in eV/atom: -3.876
# Magnetic moment in μB per atom: 0.000
data_ZnBiP2O
_cell_length_a 4.893
_cell_length_b 4.893
_cell_length_c 3.773
_cell_angle_alpha 90.00
_cell_angle_beta 90.00
_cell_angle_gamma 90.00
_symmetry_space_group_name_H-M 'P 4/m m m'
_symmetry_Int_Tables_number 123
_symmetry_space_group_name_Hall '-P 4 2'
loop_
_atom_site_label
_atom_site_type_symbol
_atom_site_fract_x
_atom_site_fract_y
_atom_site_fract_z
Zn1 Zn 0.000 0.000 0.000
Bi1 Bi 0.500 0.500 0.500
P1 P 0.000 0.500 0.000
O1 O 0.000 0.000 0.500

---

# IrC3Se (PBE, relaxed)
# Total DFT energy (no corrections) in eV/atom: -5.865
# Magnetic moment in μB per atom: 0.000
data_IrC3Se
_cell_length_a 4.032
_cell_length_b 4.032
_cell_length_c 4.032
_cell_angle_alpha 90.00
_cell_angle_beta 90.00
_cell_angle_gamma 90.00
_symmetry_space_group_name_H-M 'P m -3 m'
_symmetry_Int_Tables_number 221
_symmetry_space_group_name_Hall '-P 4 2 3'
loop_
_atom_site_label
_atom_site_type_symbol
_atom_site_fract_x
_atom_site_fract_y
_atom_site_fract_z
Ir1 Ir 0.000 0.000 0.000
C1 C 0.000 0.000 0.500
Se1 Se 0.500 0.500 0.500

---

# Te3OsBr (PBE, relaxed)
# Total DFT energy (no corrections) in eV/atom: -3.882
# Magnetic moment in μB per atom: 0.000
data_Te3OsBr
_cell_length_a 5.275
_cell_length_b 5.275
_cell_length_c 5.275
_cell_angle_alpha 90.00
_cell_angle_beta 90.00
_cell_angle_gamma 90.00
_symmetry_space_group_name_H-M 'P m -3 m'
_symmetry_Int_Tables_number 221
_symmetry_space_group_name_Hall '-P 4 2 3'
loop_
_atom_site_label
_atom_site_type_symbol
_atom_site_fract_x
_atom_site_fract_y
_atom_site_fract_z
Te1 Te 0.000 0.000 0.500
Os1 Os 0.000 0.000 0.000
Br1 Br 0.500 0.500 0.500

---

# InCo2Ni (PBE, relaxed)
# Formation enthalpy at 0 K in eV/atom: 0.17
# Magnetic moment in μB per atom: 0.717
data_InCo2Ni
_cell_length_a 5.959
_cell_length_b 5.959
_cell_length_c 5.959
_cell_angle_alpha 90.00
_cell_angle_beta 90.00
_cell_angle_gamma 90.00
_symmetry_space_group_name_H-M 'F -4 3 m'
_symmetry_Int_Tables_number 216
_symmetry_space_group_name_Hall 'F -4 2 3'
loop_
_atom_site_label
_atom_site_type_symbol
_atom_site_fract_x
_atom_site_fract_y
_atom_site_fract_z
In1 In 0.000 0.000 0.000
Co1 Co 0.000 0.000 0.500
Co2 Co 0.250 0.250 0.750
Ni1 Ni 0.250 0.250 0.250

---

| no. | density of states at the Fermi level (states/eV/f.u.) |
| --- | --- |
| 1 | 3.47 |
| 2 | 3.56 |
| 3 | 6.73 |
| 4 | 7.04 |